Entry 1:
# SiAgMo2 | the Alexandria database | GGA-PBE | optimized geometry
# Energy relative to the elements, uncorrected (eV/f.u.): 1.0
# E (eV per atom): -7.224
# Crystal system: orthorhombic
data_SiAgMo2
_cell_length_a 3.275
_cell_length_b 4.418
_cell_length_c 8.625
_cell_angle_alpha 90.00
_cell_angle_beta 90.00
_cell_angle_gamma 90.00
_space_group_name_H-M_alt 'I m m m'
_space_group_IT_number 71
_space_group_name_Hall '-I 2 2'
loop_
_atom_site_label
_atom_site_type_symbol
_atom_site_fract_x
_atom_site_fract_y
_atom_site_fract_z
_atom_site_occupancy
Si1 Si 0.000 0.000 0.000 1
Ag1 Ag 0.000 0.000 0.500 1
Mo1 Mo 0.000 0.500 0.273 1

---

Entry 2:
# Pr6SeS2Cl3 | the Alexandria database | GGA-PBE | optimized geometry
# Energy relative to the elements, uncorrected (eV/f.u.): -20.0
# E (eV per atom): -5.497
# Crystal system: monoclinic
data_Pr6SeS2Cl3
_cell_length_a 7.367
_cell_length_b 12.588
_cell_length_c 7.057
_cell_angle_alpha 90.00
_cell_angle_beta 109.68
_cell_angle_gamma 90.00
_space_group_name_H-M_alt 'C 1 2/m 1'
_space_group_IT_number 12
loop_
_space_group_symop_operation_xyz
'x,y,z'
'-x,-y,-z'
'-x,y,-z'
'x,-y,z'
'x+1/2,y+1/2,z'
'-x+1/2,-y+1/2,-z'
'-x+1/2,y+1/2,-z'
'x+1/2,-y+1/2,z'
loop_
_atom_site_label
_atom_site_type_symbol
_atom_site_fract_x
_atom_site_fract_y
_atom_site_fract_z
_atom_site_occupancy
Pr1 Pr 0.219 0.000 0.214 1
Pr2 Pr 0.248 0.175 0.773 1
Se1 Se 0.000 0.500 0.000 1
S1 S 0.000 0.170 0.000 1
Cl1 Cl 0.000 0.000 0.500 1
Cl2 Cl 0.000 0.347 0.500 1

---

Entry 3:
# Nb4TlSe8 | the Alexandria database | GGA-PBE | optimized geometry
# Energy relative to the elements, uncorrected (eV/f.u.): -9.5
# Polymorph energy (0 for the lowest one) (meV/atom): 61
# E (eV per atom): -6.152
# Crystal system: monoclinic
data_Nb4TlSe8
_cell_length_a 17.776
_cell_length_b 3.499
_cell_length_c 12.447
_cell_angle_alpha 90.00
_cell_angle_beta 130.05
_cell_angle_gamma 90.00
_space_group_name_H-M_alt 'C 1 2/m 1'
_space_group_IT_number 12
loop_
_space_group_symop_operation_xyz
'x,y,z'
'-x,-y,-z'
'-x,y,-z'
'x,-y,z'
'x+1/2,y+1/2,z'
'-x+1/2,-y+1/2,-z'
'-x+1/2,y+1/2,-z'
'x+1/2,-y+1/2,z'
loop_
_atom_site_label
_atom_site_type_symbol
_atom_site_fract_x
_atom_site_fract_y
_atom_site_fract_z
_atom_site_occupancy
Nb1 Nb 0.158 0.000 0.475 1
Nb2 Nb 0.176 0.500 0.859 1
Tl1 Tl 0.000 0.000 0.000 1
Se1 Se 0.037 0.000 0.747 1
Se2 Se 0.127 0.500 0.596 1
Se3 Se 0.156 0.500 0.314 1
Se4 Se 0.193 0.500 0.082 1